[1]
18
Lattice="4.122 0.000 0.000 -2.061 8.778 0.000 0.000 0.000 12.743" Properties=species:S:1:pos:R:3 comment="La2CePdSe5 (PBE, relaxed)" e_form_raw_mev_per_atom=-1668.3 pbc="T T T"
Se 2.061 2.751 6.627
Se 2.061 3.407 2.392
Se 2.061 8.525 6.670
Pd 0.000 7.780 5.378
Se 0.000 6.026 0.255
Se 0.000 8.734 9.453
Se 0.000 5.371 8.763
Ce 0.000 3.101 0.298
La 2.061 6.906 10.832
Se 2.061 0.043 3.082
Pd 2.061 0.998 11.750
Ce 2.061 5.676 6.670
Se 0.000 5.347 4.561
Se 2.061 3.430 10.933
La 0.000 2.129 8.889
Se 0.000 0.252 0.298
La 2.061 6.649 2.517
La 0.000 1.871 4.461

[2]
7
Lattice="-2.953 -3.159 -0.444 0.483 -3.745 2.152 -5.588 1.156 7.655" Properties=species:S:1:pos:R:3 comment="LaCe2Si2Pd2 (PBE, relaxed)" e_form_raw_mev_per_atom=-802.9 pbc="T T T"
Pd -5.328 -1.931 6.613
Si -1.929 -1.499 2.214
Ce -4.466 -5.456 4.676
Pd -2.730 -3.816 2.750
Ce -3.592 -0.292 4.687
La 0.000 0.000 0.000
Si -6.128 -4.249 7.149